(1)
The following is a GGA-PBE calculation of a geometry-optimized Lu4SnAuN2 structure, from the Open Quantum Materials Database.

Values from the calculation:
Volume: 18.66 A^3/atom
Space group: No. 187
Total DFT energy (no corrections): -6.46 eV per atom
Total moment: 0.06 μB/cell

abc: 3.4395 3.4395 14.5702
angles: 90.00 90.00 120.00
Last column: nearest neighbours and their distance in Å.
Fractional positions:
Au 0.0000 0.0000 0.0000  6 Lu 2.94
Lu 0.6667 0.3333 0.8513  3 N 2.46
Lu 0.0000 0.0000 0.6710  3 N 2.31
Lu 0.0000 0.0000 0.3290  3 N 2.31
N 0.3333 0.6667 0.2482  6 Lu 2.31-2.46
Sn 0.6667 0.3333 0.5000  6 Lu 3.19, 6 Sn 3.44
N 0.3333 0.6667 0.7518  6 Lu 2.31-2.46
Lu 0.6667 0.3333 0.1487  3 N 2.46

=====

(2)
The following is a GGA-PBE calculation of a geometry-optimized Sm3Mg3HgPt2 structure, from the Open Quantum Materials Database.

Values from the calculation:
Volume: 23.13 A^3/atom
Space group: No. 189
Total DFT energy (no corrections): -4.20 eV per atom
Total moment: 0.01 μB/cell

abc: 7.6129 7.6129 4.1483
angles: 90.00 90.00 120.00
Last column: nearest neighbours and their distance in Å.
Fractional positions:
Sm 0.5797 0.0000 0.0000  4 Pt 3.08, 1 Hg 3.20, 2 Mg 3.22
Hg 0.0000 0.0000 0.0000  6 Mg 2.84
Mg 0.7446 0.7446 0.5000  2 Hg 2.84, 2 Pt 2.88
Sm 0.4203 0.4203 0.0000  4 Pt 3.08, 1 Hg 3.20, 2 Mg 3.22
Mg 0.0000 0.2554 0.5000  2 Hg 2.84, 2 Pt 2.88
Mg 0.2554 0.0000 0.5000  2 Hg 2.84, 2 Pt 2.88
Pt 0.6667 0.3333 0.5000  3 Mg 2.88, 6 Sm 3.08
Pt 0.3333 0.6667 0.5000  3 Mg 2.88, 6 Sm 3.08
Sm 0.0000 0.5797 0.0000  4 Pt 3.08, 1 Hg 3.20, 2 Mg 3.22

=====

(3)
The following is a GGA-PBE calculation of a geometry-optimized Nb2AlSbIr2 structure, from the Open Quantum Materials Database.

Values from the calculation:
Volume: 19.35 A^3/atom
Space group: No. 122
Total DFT energy (no corrections): -8.23 eV per atom
Total moment: 0.01 μB/cell

abc: 6.1448 6.1448 7.5287
angles: 65.91 65.91 90.00
Last column: nearest neighbours and their distance in Å.
Fractional positions:
Al 0.2500 0.7500 0.5000  4 Ir 2.63
Nb 0.0048 0.5048 0.9904  4 Ir 2.60-2.73
Nb 0.4952 0.9952 0.0096  4 Ir 2.60-2.73
Sb 0.7500 0.2500 0.5000  4 Ir 2.69
Ir 0.6250 0.1163 0.2500  4 Nb 2.60-2.73, 2 Al 2.63, 2 Sb 2.69
Al 0.0000 0.0000 0.0000  4 Ir 2.63
Ir 0.8837 0.8750 0.7500  4 Nb 2.60-2.73, 2 Al 2.63, 2 Sb 2.69
Ir 0.3663 0.3750 0.7500  4 Nb 2.60-2.73, 2 Al 2.63, 2 Sb 2.69
Nb 0.2452 0.2452 0.5096  4 Ir 2.60-2.73
Nb 0.7548 0.7548 0.4904  4 Ir 2.60-2.73
Ir 0.1250 0.6337 0.2500  4 Nb 2.60-2.73, 2 Al 2.63, 2 Sb 2.69
Sb 0.5000 0.5000 0.0000  4 Ir 2.69

=====

(4)
The following is a GGA-PBE calculation of a geometry-optimized NdTlHgSe3 structure, from the Open Quantum Materials Database.

Values from the calculation:
Volume: 29.29 A^3/atom
Space group: No. 12
Total DFT energy (no corrections): -3.86 eV per atom
Total moment: 0.00 μB/cell
Energy above the most stable polymorph in this dataset: 60 meV/atom

abc: 9.3278 9.3278 9.3308
angles: 104.35 104.35 26.59
Last column: nearest neighbours and their distance in Å.
Fractional positions:
Hg 0.5208 0.5208 0.7199  4 Se 2.73-2.93
Se 0.3380 0.3380 0.6277  3 Nd 2.91-2.97, 1 Hg 3.21
Hg 0.4792 0.4792 0.2801  4 Se 2.73-2.93
Se 0.6620 0.6620 0.3723  3 Nd 2.91-2.97, 1 Hg 3.21
Nd 0.1742 0.1742 0.5971  6 Se 2.91-3.06
Tl 0.1360 0.1360 0.0798  7 Se 3.21-3.48
Se 0.3226 0.3226 0.1836  1 Hg 2.75, 2 Nd 2.96
Se 0.5000 0.5000 0.0000  2 Hg 2.73
Tl 0.8640 0.8640 0.9202  7 Se 3.21-3.48
Se 0.6774 0.6774 0.8164  1 Hg 2.75, 2 Nd 2.96
Nd 0.8258 0.8258 0.4029  6 Se 2.91-3.06
Se 0.0000 0.0000 0.5000  4 Hg 2.93, 2 Nd 3.06

=====

(5)
The following is a GGA-PBE calculation of a geometry-optimized YSiPt2 structure, from the Open Quantum Materials Database.

Values from the calculation:
Volume: 19.15 A^3/atom
Space group: No. 11
Total DFT energy (no corrections): -6.98 eV per atom
Total moment: 0.00 μB/cell

abc: 5.6140 4.2223 6.4620
angles: 90.00 90.64 90.00
Last column: nearest neighbours and their distance in Å.
Fractional positions:
Si 0.3719 0.7500 0.7489  6 Pt 2.46-2.53
Pt 0.6636 0.7500 0.0367  3 Si 2.46-2.53, 1 Pt 2.75
Si 0.6281 0.2500 0.2511  6 Pt 2.46-2.53
Pt 0.6623 0.7500 0.4623  3 Si 2.48-2.52, 1 Pt 2.75
Pt 0.3377 0.2500 0.5377  3 Si 2.48-2.52, 1 Pt 2.75
Y 0.8617 0.2500 0.7509  8 Pt 2.98-3.27
Y 0.1383 0.7500 0.2491  8 Pt 2.98-3.27
Pt 0.3364 0.2500 0.9633  3 Si 2.46-2.53, 1 Pt 2.75

=====

(6)
The following is a GGA-PBE calculation of a geometry-optimized YFeSi2Ni structure, from the Open Quantum Materials Database.

Values from the calculation:
Volume: 14.78 A^3/atom
Space group: No. 119
Total DFT energy (no corrections): -7.00 eV per atom
Total moment: 0.01 μB/cell

abc: 5.6055 5.6055 5.6055
angles: 139.40 139.40 58.77
Last column: nearest neighbours and their distance in Å.
Fractional positions:
Fe 0.0000 0.0000 0.0000  4 Si 2.29
Y 0.2500 0.7500 0.5000  8 Si 3.01, 4 Fe 3.12, 4 Ni 3.12
Ni 0.5000 0.5000 0.0000  4 Si 2.29
Si 0.6236 0.1236 0.5000  2 Fe 2.29, 2 Ni 2.29, 1 Si 2.47
Si 0.8764 0.3764 0.5000  2 Fe 2.29, 2 Ni 2.29, 1 Si 2.47

=====

(7)
The following is a GGA-PBE calculation of a geometry-optimized HfFeAgSb structure, from the Open Quantum Materials Database.

Values from the calculation:
Volume: 17.64 A^3/atom
Space group: No. 216
Total DFT energy (no corrections): -6.13 eV per atom
Total moment: 1.92 μB/cell
Energy above the most stable polymorph in this dataset: 56 meV/atom

abc: 4.6379 4.6379 4.6379
angles: 60.00 60.00 60.00
Last column: nearest neighbours and their distance in Å.
Fractional positions:
Fe 0.7500 0.7500 0.7500  4 Ag 2.84, 4 Sb 2.84
Hf 0.2500 0.2500 0.2500  4 Sb 2.84, 4 Ag 2.84
Ag 0.5000 0.5000 0.5000  4 Fe 2.84, 4 Hf 2.84
Sb 0.0000 0.0000 0.0000  4 Hf 2.84, 4 Fe 2.84

=====

(8)
The following is a GGA-PBE calculation of a geometry-optimized Li4Ge2IrPd structure, from the Open Quantum Materials Database.

Values from the calculation:
Volume: 13.58 A^3/atom
Space group: No. 115
Total DFT energy (no corrections): -4.37 eV per atom
Total moment: 0.00 μB/cell

abc: 4.2610 4.2610 5.9849
angles: 90.00 90.00 90.00
Last column: nearest neighbours and their distance in Å.
Fractional positions:
Li 0.0000 0.5000 0.2522  4 Li 2.60-2.61, 2 Pd 2.60, 2 Ir 2.61
Ge 0.5000 0.0000 0.2362  4 Li 2.56-2.65, 2 Ir 2.56, 2 Pd 2.65
Li 0.0000 0.0000 0.5000  4 Li 2.60, 4 Ge 2.65
Li 0.5000 0.0000 0.7478  2 Pd 2.60, 4 Li 2.60-2.61, 2 Ir 2.61
Pd 0.5000 0.5000 0.5000  4 Li 2.60, 4 Ge 2.65
Ge 0.0000 0.5000 0.7638  2 Ir 2.56, 4 Li 2.56-2.65, 2 Pd 2.65
Ir 0.0000 0.0000 0.0000  4 Ge 2.56, 4 Li 2.61
Li 0.5000 0.5000 0.0000  4 Ge 2.56, 4 Li 2.61

=====

Q: The lowest total DFT energy (no corrections) belongs to which entry?
A: Nb2AlSbIr2